[1]
{"formula": "RbGaNi3", "functional": "GGA-PBEsol", "state": "optimized geometry", "vol_a3_per_atom": 19.0, "e_tot_ev_per_atom": -2.51, "space_group": "Pm-3m, No. 221", "magmom_total_mub_per_fu": 0.00, "lattice_angstrom": [[-1.512, 0.266, 4.295], [-2.576, -3.703, -0.677], [3.447, -2.650, 1.377]], "species": ["Ni", "Rb", "Ni", "Ni", "Ga"], "fractional_positions": [[0.500, 0.000, 0.000], [0.000, 0.000, 0.000], [0.000, 0.500, 0.000], [0.000, 0.000, 0.500], [0.500, 0.500, 0.500]]}

---

[2]
{"formula": "Mg2PRu", "functional": "GGA-PBEsol", "state": "optimized geometry", "vol_a3_per_atom": 15.8, "e_tot_ev_per_atom": -4.73, "space_group": "R-3m, No. 166", "magmom_total_mub_per_fu": 0.28, "lattice_angstrom": [[-2.851, -0.588, -0.525], [-0.765, -1.648, -2.335], [-0.649, -7.618, 3.716]], "species": ["Mg", "Mg", "P", "Ru"], "fractional_positions": [[0.251, 0.251, 0.247], [0.749, 0.749, 0.753], [0.500, 0.500, 0.500], [0.000, 0.000, 0.000]]}

---

[3]
{"formula": "La2CdCl", "functional": "GGA-PBEsol", "state": "optimized geometry", "de_polymorph_ev_per_fu": 0.000, "vol_a3_per_atom": 28.4, "space_group": "R-3m, No. 166", "formation_energy_uncorrected_mev_per_atom": -884, "magmom_total_mub_per_fu": 0.00, "lattice_angstrom": [[4.266, 0.000, 0.000], [2.133, 3.695, 0.000], [2.133, 1.232, 7.215]], "species": ["Cl", "La", "La", "Cd"], "fractional_positions": [[0.000, 0.000, 0.000], [0.738, 0.738, 0.785], [0.262, 0.262, 0.215], [0.500, 0.500, 0.500]]}

---

[4]
{"formula": "BeFeCu2S", "functional": "GGA-PBEsol", "state": "optimized geometry", "vol_a3_per_atom": 13.1, "space_group": "P4/mmm, No. 123", "formation_energy_uncorrected_mev_per_atom": 730, "magmom_total_mub_per_fu": 2.83, "lattice_angstrom": [[3.998, 0.000, 0.000], [0.000, 4.051, 0.000], [0.000, 0.000, 4.051]], "species": ["S", "Fe", "Be", "Cu", "Cu"], "fractional_positions": [[0.500, 0.000, 0.000], [0.500, 0.500, 0.500], [0.000, 0.000, 0.000], [0.000, 0.500, 0.000], [0.000, 0.000, 0.500]]}

---

[5]
{"formula": "AgHgIr2W", "functional": "GGA-PBEsol", "state": "optimized geometry", "vol_a3_per_atom": 22.8, "e_tot_ev_per_atom": -5.84, "space_group": "P4/mmm, No. 123", "magmom_total_mub_per_fu": 0.00, "lattice_angstrom": [[-2.870, 3.679, -0.314], [-2.159, -1.350, 3.923], [3.332, 2.839, 2.810]], "species": ["Hg", "Ir", "W", "Ag", "Ir"], "fractional_positions": [[0.000, 0.000, 0.500], [0.000, 0.500, 0.000], [0.000, 0.000, 0.000], [0.500, 0.500, 0.500], [0.500, 0.000, 0.000]]}

---

[6]
{"formula": "Cd3Pb2", "functional": "GGA-PBEsol", "state": "optimized geometry", "vol_a3_per_atom": 25.1, "e_tot_ev_per_atom": -2.24, "space_group": "R-3m, No. 166", "magmom_total_mub_per_fu": 0.00, "lattice_angstrom": [[3.420, 0.000, 0.000], [1.710, 2.961, 0.000], [1.710, 0.987, 12.402]], "species": ["Pb", "Cd", "Cd", "Pb", "Cd"], "fractional_positions": [[0.598, 0.598, 0.206], [0.000, 0.000, 0.000], [0.804, 0.804, 0.588], [0.402, 0.402, 0.794], [0.196, 0.196, 0.412]]}